[1]
The following is a PBE calculation of crystalline Ga6Ni3Pt at its relaxed geometry, from the Alexandria database.

Values from the calculation:
As for the formation energy from the elements: -0.2858 eV per atom. As for the raw total energy: -4.44 eV per atom.

Cell and atoms, written as CIF:
```
data_Ga6Ni3Pt
_space_group_name_H-M_alt 'P 1 21/c 1'
_space_group_IT_number 14
_cell_length_a 6.734
_cell_length_b 5.646
_cell_length_c 9.405
_cell_angle_alpha 90.00
_cell_angle_beta 119.66
_cell_angle_gamma 90.00
loop_
_space_group_symop_operation_xyz
'x,y,z'
'-x,-y,-z'
'-x,y+1/2,-z+1/2'
'x,-y+1/2,z+1/2'
loop_
_atom_site_label
_atom_site_fract_x
_atom_site_fract_y
_atom_site_fract_z
Ga1 0.079 0.031 0.300
Ga2 0.282 0.157 0.623
Ga3 0.394 0.624 0.564
Ni1 0.295 0.698 0.272
Ni2 0.500 0.000 0.500
Pt1 0.000 0.000 0.000
```

---

[2]
The following is a PBE calculation of crystalline Ga2Ni5Pt at its relaxed geometry, from the Alexandria database.

Values from the calculation:
As for the formation energy from the elements: -0.3321 eV per atom. As for the raw total energy: -5.46 eV per atom. The polymorph energy (0 for the lowest one) is 0 meV per atom.

Cell and atoms, written as CIF:
```
data_Ga2Ni5Pt
_space_group_name_H-M_alt 'P b a m'
_space_group_IT_number 55
_cell_length_a 5.183
_cell_length_b 10.340
_cell_length_c 3.647
_cell_angle_alpha 90.00
_cell_angle_beta 90.00
_cell_angle_gamma 90.00
loop_
_space_group_symop_operation_xyz
'x,y,z'
'-x,-y,-z'
'-x,-y,z'
'x,y,-z'
'x+1/2,-y+1/2,-z'
'-x+1/2,y+1/2,z'
'-x+1/2,y+1/2,-z'
'x+1/2,-y+1/2,z'
loop_
_atom_site_label
_atom_site_fract_x
_atom_site_fract_y
_atom_site_fract_z
Ga1 0.244 0.129 0.000
Ni1 0.000 0.000 0.500
Ni2 0.006 0.247 0.500
Ni3 0.240 0.870 0.000
Pt1 0.000 0.500 0.500
```

---

[3]
The following is a PBE calculation of crystalline GaNi23Pt6 at its relaxed geometry, from the Alexandria database.

Values from the calculation:
As for the formation energy from the elements: 0.0092 eV per atom. As for the raw total energy: -5.73 eV per atom.

Cell and atoms, written as CIF:
```
data_GaNi23Pt6
_space_group_name_H-M_alt 'F m -3 m'
_space_group_IT_number 225
_space_group_name_Hall '-F 4 2 3'
_cell_length_a 11.361
_cell_length_b 11.361
_cell_length_c 11.361
_cell_angle_alpha 90.00
_cell_angle_beta 90.00
_cell_angle_gamma 90.00
loop_
_atom_site_label
_atom_site_fract_x
_atom_site_fract_y
_atom_site_fract_z
Ga1 0.000 0.000 0.000
Ni1 0.000 0.000 0.500
Ni2 0.000 0.250 0.250
Ni3 0.122 0.122 0.378
Ni4 0.167 0.167 0.167
Pt1 0.000 0.000 0.226
```

---

[4]
The following is a PBE calculation of crystalline Ga3NiPt12 at its relaxed geometry, from the Alexandria database.

Values from the calculation:
As for the formation energy from the elements: -0.3396 eV per atom. As for the raw total energy: -5.80 eV per atom.

Cell and atoms, written as CIF:
```
data_Ga3NiPt12
_space_group_name_H-M_alt 'P 4/m m m'
_space_group_IT_number 123
_space_group_name_Hall '-P 4 2'
_cell_length_a 3.945
_cell_length_b 3.945
_cell_length_c 15.637
_cell_angle_alpha 90.00
_cell_angle_beta 90.00
_cell_angle_gamma 90.00
loop_
_atom_site_label
_atom_site_fract_x
_atom_site_fract_y
_atom_site_fract_z
Ga1 0.000 0.000 0.000
Ga2 0.000 0.000 0.252
Ni1 0.000 0.000 0.500
Pt1 0.000 0.500 0.126
Pt2 0.000 0.500 0.378
Pt3 0.500 0.500 0.000
Pt4 0.500 0.500 0.252
Pt5 0.500 0.500 0.500
```

---

[5]
The following is a PBE calculation of crystalline GaNi5Pt6 at its relaxed geometry, from the Alexandria database.

Values from the calculation:
As for the formation energy from the elements: -0.2050 eV per atom. As for the raw total energy: -5.89 eV per atom.

Cell and atoms, written as CIF:
```
data_GaNi5Pt6
_space_group_name_H-M_alt 'I m m m'
_space_group_IT_number 71
_space_group_name_Hall '-I 2 2'
_cell_length_a 3.892
_cell_length_b 7.234
_cell_length_c 11.671
_cell_angle_alpha 90.00
_cell_angle_beta 90.00
_cell_angle_gamma 90.00
loop_
_atom_site_label
_atom_site_fract_x
_atom_site_fract_y
_atom_site_fract_z
Ga1 0.000 0.000 0.000
Ni1 0.000 0.000 0.336
Ni2 0.000 0.500 0.000
Ni3 0.000 0.500 0.330
Pt1 0.000 0.250 0.168
Pt2 0.000 0.250 0.500
```

---

[6]
The following is a PBE calculation of crystalline Ga2Ni3Pt4 at its relaxed geometry, from the Alexandria database.

Values from the calculation:
As for the formation energy from the elements: -0.3592 eV per atom. As for the raw total energy: -5.64 eV per atom.

Cell and atoms, written as CIF:
```
data_Ga2Ni3Pt4
_space_group_name_H-M_alt 'C 1 2/m 1'
_space_group_IT_number 12
_cell_length_a 8.226
_cell_length_b 3.900
_cell_length_c 8.002
_cell_angle_alpha 90.00
_cell_angle_beta 104.20
_cell_angle_gamma 90.00
loop_
_space_group_symop_operation_xyz
'x,y,z'
'-x,-y,-z'
'-x,y,-z'
'x,-y,z'
'x+1/2,y+1/2,z'
'-x+1/2,-y+1/2,-z'
'-x+1/2,y+1/2,-z'
'x+1/2,-y+1/2,z'
loop_
_atom_site_label
_atom_site_fract_x
_atom_site_fract_y
_atom_site_fract_z
Ga1 0.174 0.000 0.228
Ni1 0.000 0.500 0.000
Ni2 0.160 0.000 0.543
Pt1 0.011 0.500 0.334
Pt2 0.166 0.000 0.887
```

---

[7]
The following is a PBE calculation of crystalline GaNi6Pt at its relaxed geometry, from the Alexandria database.

Values from the calculation:
As for the formation energy from the elements: -0.1763 eV per atom. As for the raw total energy: -5.65 eV per atom. The polymorph energy (0 for the lowest one) is 0 meV per atom.

Cell and atoms, written as CIF:
```
data_GaNi6Pt
_space_group_name_H-M_alt 'C m m m'
_space_group_IT_number 65
_space_group_name_Hall '-C 2 2'
_cell_length_a 7.222
_cell_length_b 10.240
_cell_length_c 10.245
_cell_angle_alpha 90.00
_cell_angle_beta 90.00
_cell_angle_gamma 90.00
loop_
_atom_site_label
_atom_site_fract_x
_atom_site_fract_y
_atom_site_fract_z
Ga1 0.000 0.000 0.248
Ga2 0.000 0.251 0.000
Ni1 0.000 0.000 0.000
Ni2 0.000 0.000 0.500
Ni3 0.000 0.248 0.246
Ni4 0.000 0.500 0.000
Ni5 0.000 0.500 0.500
Ni6 0.247 0.124 0.372
Ni7 0.248 0.126 0.123
Pt1 0.000 0.249 0.500
Pt2 0.000 0.500 0.249
```

---

[8]
The following is a PBE calculation of crystalline GaNiPt at its relaxed geometry, from the Alexandria database.

Values from the calculation:
As for the formation energy from the elements: -0.4821 eV per atom. As for the raw total energy: -5.43 eV per atom.

Cell and atoms, written as CIF:
```
data_GaNiPt
_space_group_name_H-M_alt 'C 1 2/m 1'
_space_group_IT_number 12
_cell_length_a 8.335
_cell_length_b 3.805
_cell_length_c 5.333
_cell_angle_alpha 90.00
_cell_angle_beta 103.49
_cell_angle_gamma 90.00
loop_
_space_group_symop_operation_xyz
'x,y,z'
'-x,-y,-z'
'-x,y,-z'
'x,-y,z'
'x+1/2,y+1/2,z'
'-x+1/2,-y+1/2,-z'
'-x+1/2,y+1/2,-z'
'x+1/2,-y+1/2,z'
loop_
_atom_site_label
_atom_site_fract_x
_atom_site_fract_y
_atom_site_fract_z
Ga1 0.145 0.000 0.305
Ni1 0.000 0.500 0.000
Ni2 0.000 0.500 0.500
Pt1 0.175 0.000 0.805
```

---

[9]
The following is a PBE calculation of crystalline GaNiPt14 at its relaxed geometry, from the Alexandria database.

Values from the calculation:
As for the formation energy from the elements: -0.0958 eV per atom. As for the raw total energy: -5.93 eV per atom.

Cell and atoms, written as CIF:
```
data_GaNiPt14
_space_group_name_H-M_alt 'A m m 2'
_space_group_IT_number 38
_cell_length_a 9.220
_cell_length_b 5.574
_cell_length_c 9.618
_cell_angle_alpha 90.00
_cell_angle_beta 90.00
_cell_angle_gamma 90.00
loop_
_space_group_symop_operation_xyz
'x,y,z'
'-x,-y,z'
'-x,y,z'
'x,-y,z'
'x,y+1/2,z+1/2'
'-x,-y+1/2,z+1/2'
'-x,y+1/2,z+1/2'
'x,-y+1/2,z+1/2'
loop_
_atom_site_label
_atom_site_fract_x
_atom_site_fract_y
_atom_site_fract_z
Ga1 0.000 0.000 0.000
Ni1 0.000 0.000 0.499
Pt1 0.000 0.250 0.254
Pt2 0.238 0.250 0.075
Pt3 0.247 0.000 0.328
Pt4 0.248 0.000 0.826
Pt5 0.500 0.000 0.155
Pt6 0.500 0.000 0.654
Pt7 0.500 0.250 0.406
```